The following is a DFT calculation (GGA-PBEsol) of an optimized crystal structure of Gd.

abc: 3.4937 3.4937 3.4937
angles: 60.00 60.00 60.00
With the nearest neighbours (Å) after each atom.
Element x y z (fractional)
Gd1 0.0000 0.0000 0.0000  12 Gd 3.49

- DFT formation energy: 39 meV per atom
- Crystal system: cubic
- SG: Fm-3m (225)
- DFT total energy: -14.410 eV per atom
- Spin magnetization: 7.354 μB per cell

***

The following is a DFT calculation (GGA-PBEsol) of an optimized crystal structure of Ta2BeSi.

abc: 2.9188 2.9188 6.8816
angles: 90.00 90.00 103.29
With the nearest neighbours (Å) after each atom.
Element x y z (fractional)
Ta1 0.5000 0.5000 0.7042  2 Be 2.42
Be1 0.0000 0.0000 0.4705  2 Si 2.18, 2 Ta 2.42
Ta2 0.0000 0.0000 0.0322  2 Si 2.55
Si1 0.5000 0.5000 0.2931  2 Be 2.18

- Crystal system: orthorhombic
- ΔE_f (raw): -0.12 eV/atom
- SG: Cmm2 (35)
- DFT total energy: -8.829 eV per atom
- Spin magnetization: 0.000 μB per cell

***

The following is a DFT calculation (GGA-PBEsol) of an optimized crystal structure of CaZnW2.

abc: 2.6660 5.4587 5.4854
angles: 119.84 90.00 90.00
With the nearest neighbours (Å) after each atom.
Element x y z (fractional)
W1 0.0000 0.0000 0.5000  4 W 2.67-2.73
Zn1 0.5000 0.0000 0.0000  2 Zn 2.67, 2 Ca 2.73
W2 0.0000 0.5000 0.5000  4 W 2.67-2.73
Ca1 0.5000 0.5000 0.0000  2 Ca 2.67, 2 Zn 2.73

- DFT formation energy: 817 meV per atom
- Crystal system: orthorhombic
- SG: Cmmm (65)
- DFT total energy: -7.016 eV per atom
- Spin magnetization: 0.000 μB per cell

***

The following is a DFT calculation (GGA-PBEsol) of an optimized crystal structure of IrPdPt2.

abc: 4.3775 4.3775 4.3775
angles: 60.00 60.00 60.00
With the nearest neighbours (Å) after each atom.
Element x y z (fractional)
Pd1 0.0000 0.0000 0.0000  8 Pt 2.68
Ir1 0.5000 0.5000 0.5000  8 Pt 2.68
Pt1 0.2500 0.2500 0.2500  4 Ir 2.68, 4 Pd 2.68
Pt2 0.7500 0.7500 0.7500  4 Ir 2.68, 4 Pd 2.68

- DFT formation energy: 258 meV per atom
- Crystal system: cubic
- SG: Fm-3m (225)
- DFT total energy: -7.170 eV per atom
- Spin magnetization: 0.001 μB per cell

***

The following is a DFT calculation (GGA-PBEsol) of an optimized crystal structure of CdIn2Ag.

abc: 3.3621 4.9587 5.5789
angles: 101.05 90.00 109.82
With the nearest neighbours (Å) after each atom.
Element x y z (fractional)
Ag1 0.5000 0.0000 0.0000  6 In 2.92-2.95, 4 Cd 3.26
Cd1 0.0000 0.0000 0.5000  6 In 2.95-3.04, 4 Ag 3.26
In1 0.7556 0.5112 0.7627  3 Ag 2.92-2.95, 3 Cd 2.95-3.04, 2 In 3.16
In2 0.2444 0.4888 0.2373  3 Ag 2.92-2.95, 3 Cd 2.95-3.04, 2 In 3.16

- DFT formation energy: 17 meV per atom
- Crystal system: monoclinic
- SG: C2/m (12)
- DFT total energy: -2.601 eV per atom
- Spin magnetization: 0.000 μB per cell

***

The following is a DFT calculation (GGA-PBEsol) of an optimized crystal structure of ZnSb2Os.

abc: 4.1069 4.1069 5.2878
angles: 112.85 112.85 90.00
With the nearest neighbours (Å) after each atom.
Element x y z (fractional)
Sb1 0.0000 0.0000 0.0000  4 Zn 2.90, 4 Sb 3.02, 4 Os 3.02
Zn1 0.5000 0.5000 0.0000  8 Sb 2.90-3.02, 4 Os 3.02
Os1 0.2500 0.7500 0.5000  8 Sb 2.90-3.02, 4 Zn 3.02
Sb2 0.7500 0.2500 0.5000  4 Os 2.90, 4 Sb 3.02, 4 Zn 3.02

- Crystal system: tetragonal
- ΔE_f (raw): 0.64 eV/atom
- SG: I-4m2 (119)
- DFT total energy: -5.085 eV per atom
- Spin magnetization: 0.000 μB per cell